# 1
# ScIrPb2, relaxed, DFT GGA-PBE
data_ScIrPb2
_chemical_formula_sum 'Sc1 Ir1 Pb2'
_symmetry_space_group_name_H-M 'P 4/m m m'
_symmetry_Int_Tables_number 123
_symmetry_space_group_name_Hall '-P 4 2'
_cell_length_a 4.491
_cell_length_b 4.491
_cell_length_c 4.278
_cell_angle_alpha 90.00
_cell_angle_beta 90.00
_cell_angle_gamma 90.00
loop_
_atom_site_label
_atom_site_type_symbol
_atom_site_fract_x
_atom_site_fract_y
_atom_site_fract_z
Sc1 Sc 0.000 0.000 0.000
Ir1 Ir 0.500 0.500 0.000
Pb1 Pb 0.000 0.500 0.500
# total moment: 0.000 μB/cell
# calculated density: 12.5 g cm⁻³
# ΔE_f: -0.1 eV/f.u.
# ΔE to the lowest computed polymorph: 259 meV/atom
# Fermi-level density of states: 0.3391 states/eV/atom



# 2
# KNa2MgO, relaxed, DFT GGA-PBE
data_KNa2MgO
_chemical_formula_sum 'K1 Na2 Mg1 O1'
_symmetry_space_group_name_H-M 'P 4/m m m'
_symmetry_Int_Tables_number 123
_symmetry_space_group_name_Hall '-P 4 2'
_cell_length_a 6.297
_cell_length_b 6.297
_cell_length_c 6.242
_cell_angle_alpha 90.00
_cell_angle_beta 90.00
_cell_angle_gamma 90.00
loop_
_atom_site_label
_atom_site_type_symbol
_atom_site_fract_x
_atom_site_fract_y
_atom_site_fract_z
K1 K 0.000 0.000 0.000
Na1 Na 0.000 0.500 0.000
Mg1 Mg 0.000 0.000 0.500
O1 O 0.500 0.500 0.500
# total moment: 0.000 μB/cell
# calculated density: 0.8 g cm⁻³
# formation energy from raw total energies: 22.3 kcal/mol of atoms
# Fermi-level density of states: 1.4691 states/eV/atom



# 3
# Cs2BiPt2, relaxed, DFT GGA-PBE
data_Cs2BiPt2
_chemical_formula_sum 'Cs4 Bi2 Pt4'
_symmetry_space_group_name_H-M 'P 4/m b m'
_symmetry_Int_Tables_number 127
_symmetry_space_group_name_Hall '-P 4 2ab'
_cell_length_a 7.305
_cell_length_b 7.305
_cell_length_c 5.980
_cell_angle_alpha 90.00
_cell_angle_beta 90.00
_cell_angle_gamma 90.00
loop_
_atom_site_label
_atom_site_type_symbol
_atom_site_fract_x
_atom_site_fract_y
_atom_site_fract_z
Cs1 Cs 0.178 0.322 0.000
Bi1 Bi 0.000 0.000 0.500
Pt1 Pt 0.126 0.626 0.500
# total moment: 0.000 μB/cell
# calculated density: 9.0 g cm⁻³
# ΔE_f: -0.2 eV/f.u.
# ΔE to the lowest computed polymorph: 155 meV/atom
# Fermi-level density of states: 0.5851 states/eV/atom



# 4
# DyErSc2In4, relaxed, DFT GGA-PBE
data_DyErSc2In4
_chemical_formula_sum 'Dy3 Er3 Sc6 In12'
_symmetry_space_group_name_H-M 'R -3 m'
_symmetry_Int_Tables_number 166
_symmetry_space_group_name_Hall '-R 3 2"'
_cell_length_a 5.1673
_cell_length_b 5.1673
_cell_length_c 25.3556
_cell_angle_alpha 90.00
_cell_angle_beta 90.00
_cell_angle_gamma 120.00
loop_
_atom_site_label
_atom_site_type_symbol
_atom_site_fract_x
_atom_site_fract_y
_atom_site_fract_z
Dy1 Dy 0.0000 0.0000 0.0000
Er1 Er 0.0000 0.0000 0.5000
Sc1 Sc 0.0000 0.0000 0.2498
In1 In 0.0000 0.0000 0.1253
In2 In 0.0000 0.0000 0.3754
# total moment: 0.000 μB/cell
# calculated density: 7.5 g cm⁻³
# ΔE_f: -3.4 eV/f.u.
# Fermi-level density of states: 0.5466 states/eV/atom



# 5
# Sr3CdGa2, relaxed, DFT GGA-PBE
data_Sr3CdGa2
_chemical_formula_sum 'Sr6 Cd2 Ga4'
_symmetry_space_group_name_H-M 'C m m m'
_symmetry_Int_Tables_number 65
_symmetry_space_group_name_Hall '-C 2 2'
_cell_length_a 5.581
_cell_length_b 16.717
_cell_length_c 3.976
_cell_angle_alpha 90.00
_cell_angle_beta 90.00
_cell_angle_gamma 90.00
loop_
_atom_site_label
_atom_site_type_symbol
_atom_site_fract_x
_atom_site_fract_y
_atom_site_fract_z
Sr1 Sr 0.000 0.000 0.000
Sr2 Sr 0.000 0.329 0.000
Cd1 Cd 0.000 0.500 0.500
Ga1 Ga 0.000 0.165 0.500
# total moment: 0.000 μB/cell
# calculated density: 4.6 g cm⁻³
# ΔE_f: -2.1 eV/f.u.
# ΔE to the lowest computed polymorph: 12 meV/atom
# Fermi-level density of states: 0.8044 states/eV/atom



# 6
# La7Tb4Ho, relaxed, DFT GGA-PBE
data_La7Tb4Ho
_chemical_formula_sum 'La14 Tb8 Ho2'
_symmetry_space_group_name_H-M 'C 1 2/m 1'
_symmetry_Int_Tables_number 12
_symmetry_space_group_name_Hall '-C 2y'
_cell_length_a 16.423
_cell_length_b 6.124
_cell_length_c 9.627
_cell_angle_alpha 90.00
_cell_angle_beta 118.13
_cell_angle_gamma 90.00
loop_
_atom_site_label
_atom_site_type_symbol
_atom_site_fract_x
_atom_site_fract_y
_atom_site_fract_z
La1 La 0.000 0.000 0.000
La2 La 0.088 0.500 0.454
La3 La 0.209 0.500 0.892
La4 La 0.222 0.500 0.251
Tb1 Tb 0.066 0.000 0.703
Tb2 Tb 0.168 0.000 0.363
Ho1 Ho 0.000 0.500 0.000
# total moment: 0.001 μB/cell
# calculated density: 6.9 g cm⁻³
# ΔE_f: 2.5 eV/f.u.
# ΔE to the lowest computed polymorph: 193 meV/atom
# Fermi-level density of states: 1.7534 states/eV/atom



# 7
# Ba3SiB, relaxed, DFT GGA-PBE
data_Ba3SiB
_chemical_formula_sum 'Ba3 Si1 B1'
_symmetry_space_group_name_H-M 'P m -3 m'
_symmetry_Int_Tables_number 221
_symmetry_space_group_name_Hall '-P 4 2 3'
_cell_length_a 5.702
_cell_length_b 5.702
_cell_length_c 5.702
_cell_angle_alpha 90.00
_cell_angle_beta 90.00
_cell_angle_gamma 90.00
loop_
_atom_site_label
_atom_site_type_symbol
_atom_site_fract_x
_atom_site_fract_y
_atom_site_fract_z
Ba1 Ba 0.000 0.000 0.500
Si1 Si 0.500 0.500 0.500
B1 B 0.000 0.000 0.000
# total moment: 0.005 μB/cell
# calculated density: 4.0 g cm⁻³
# ΔE to the lowest computed polymorph: 0 meV/atom
# formation energy from raw total energies: 10.3 kcal/mol of atoms
# Fermi-level density of states: 1.8026 states/eV/atom



# 8
# Y2RuF4, relaxed, DFT GGA-PBE
data_Y2RuF4
_chemical_formula_sum 'Y4 Ru2 F8'
_symmetry_space_group_name_H-M 'I 4/m m m'
_symmetry_Int_Tables_number 139
_symmetry_space_group_name_Hall '-I 4 2'
_cell_length_a 4.165
_cell_length_b 4.165
_cell_length_c 14.877
_cell_angle_alpha 90.00
_cell_angle_beta 90.00
_cell_angle_gamma 90.00
loop_
_atom_site_label
_atom_site_type_symbol
_atom_site_fract_x
_atom_site_fract_y
_atom_site_fract_z
Y1 Y 0.000 0.000 0.126
Ru1 Ru 0.000 0.000 0.500
F1 F 0.000 0.000 0.263
F2 F 0.000 0.500 0.000
# total moment: 1.302 μB/cell
# calculated density: 4.6 g cm⁻³
# formation energy from raw total energies: -39.5 kcal/mol of atoms
# Fermi-level density of states: 0.6064 states/eV/atom



# 9
# AcLaCd17, relaxed, DFT GGA-PBE
data_AcLaCd17
_chemical_formula_sum 'Ac3 La3 Cd51'
_symmetry_space_group_name_H-M 'R 3 m'
_symmetry_Int_Tables_number 160
_symmetry_space_group_name_Hall 'R 3 -2"'
_cell_length_a 10.2043
_cell_length_b 10.2043
_cell_length_c 15.0751
_cell_angle_alpha 90.00
_cell_angle_beta 90.00
_cell_angle_gamma 120.00
loop_
_atom_site_label
_atom_site_type_symbol
_atom_site_fract_x
_atom_site_fract_y
_atom_site_fract_z
Ac1 Ac 0.0000 0.0000 0.0000
La1 La 0.0000 0.0000 0.3331
Cd1 Cd 0.0000 0.0000 0.5621
Cd2 Cd 0.0000 0.0000 0.7625
Cd3 Cd 0.0007 0.5004 0.8126
Cd4 Cd 0.0374 0.3689 0.3320
Cd5 Cd 0.1713 0.3426 0.5004
Cd6 Cd 0.1790 0.3580 0.8495
# total moment: 0.000 μB/cell
# calculated density: 8.3 g cm⁻³
# ΔE_f: -3.6 eV/f.u.
# Fermi-level density of states: 0.2164 states/eV/atom



# 10
# SrAl2Te, relaxed, DFT GGA-PBE
data_SrAl2Te
_chemical_formula_sum 'Sr3 Al6 Te3'
_symmetry_space_group_name_H-M 'R -3 m'
_symmetry_Int_Tables_number 166
_symmetry_space_group_name_Hall '-R 3 2"'
_cell_length_a 3.9716
_cell_length_b 3.9716
_cell_length_c 26.2640
_cell_angle_alpha 90.00
_cell_angle_beta 90.00
_cell_angle_gamma 120.00
loop_
_atom_site_label
_atom_site_type_symbol
_atom_site_fract_x
_atom_site_fract_y
_atom_site_fract_z
Sr1 Sr 0.0000 0.0000 0.0000
Al1 Al 0.0000 0.0000 0.2365
Te1 Te 0.0000 0.0000 0.5000
# total moment: 0.003 μB/cell
# calculated density: 3.7 g cm⁻³
# formation energy from raw total energies: 0.4 kcal/mol of atoms
# Fermi-level density of states: 0.8693 states/eV/atom